No. 1
Below is a relaxed structure of BeReMo2, with properties calculated at the PBE-GGA level.

- calculated volume (A^3/atom) = 14.055
- energy of formation (meV/atom) = 90

abc: 3.167 3.167 5.604
angles: 90.00 90.00 90.00
Sites, in units of the cell vectors:
Re1 0.500 0.500 0.250
Be1 0.500 0.500 0.750
Mo1 0.000 0.000 0.975
Mo2 0.000 0.000 0.525


No. 2
Below is a relaxed structure of BeReMo2, with properties calculated at the PBE-GGA level.

- calculated volume (A^3/atom) = 14.401
- energy of formation (meV/atom) = 123

abc: 4.305 2.666 5.095
angles: 80.03 90.00 90.00
Sites, in units of the cell vectors:
Mo1 0.500 0.267 0.260
Mo2 0.000 0.037 0.982
Re1 0.000 0.512 0.503
Be1 0.500 0.684 0.755


No. 3
Below is a relaxed structure of BeReMo2, with properties calculated at the PBE-GGA level.

- calculated volume (A^3/atom) = 14.053
- energy of formation (meV/atom) = 84

abc: 3.166 3.166 5.607
angles: 90.00 90.00 90.00
Sites, in units of the cell vectors:
Re1 0.000 0.000 0.530
Mo1 0.500 0.500 0.251
Mo2 0.000 0.000 0.978
Be1 0.500 0.500 0.742


No. 4
Below is a relaxed structure of BeReMo, with properties calculated at the PBE-GGA level.

- E above lowest polymorph (meV per atom) = 365.8
- calculated volume (A^3/atom) = 13.329
- energy of formation (meV/atom) = 141

abc: 6.137 5.965 2.695
angles: 80.72 73.60 25.69
Sites, in units of the cell vectors:
Mo1 0.656 0.656 0.344
Be1 0.998 0.998 0.002
Re1 0.346 0.346 0.654


No. 5
Below is a relaxed structure of Be3ReMo, with properties calculated at the PBE-GGA level.

- E above lowest polymorph (meV per atom) = 355.2
- calculated volume (A^3/atom) = 13.438
- energy of formation (meV/atom) = 1532

abc: 4.065 4.065 4.065
angles: 90.00 90.00 90.00
Each line ends with the local moment (μB).
Sites, in units of the cell vectors:
Be1 0.000 0.000 0.500  -0.01
Be2 0.500 0.000 0.000  -0.01
Be3 0.000 0.500 0.000  -0.02
Re1 0.500 0.500 0.500  1.66
Mo1 0.000 0.000 0.000  0.05


No. 6
Below is a relaxed structure of BeReMo2, with properties calculated at the PBE-GGA level.

- calculated volume (A^3/atom) = 14.350
- energy of formation (meV/atom) = 150

abc: 5.023 5.023 2.680
angles: 80.99 80.99 117.14
Sites, in units of the cell vectors:
Re1 0.500 0.000 0.500
Be1 0.000 0.500 0.500
Mo1 0.000 0.000 0.000
Mo2 0.500 0.500 0.000